No. 1
The following is a PBE calculation of crystalline Ba2NaCa2 at its relaxed geometry, from Alexandria.

a b c (Å): 4.664 4.664 12.066
angles (deg): 101.14 101.14 90.00
Atoms (fractional coordinates):
Ba 0.399 0.399 0.798
Ba 0.601 0.601 0.202
Ca 0.210 0.210 0.420
Na 0.000 0.000 0.000
Ca 0.790 0.790 0.580

## Properties
For the excess energy over the best structure of this formula in the dataset, the calculation gives 0.000 eV per atom. As for the final energy: -1.8087 eV per atom. Its energy relative to the elements is 25 meV per atom. The calculation puts the total magnetic moment at 0.000 μB per cell. As for the crystal system: tetragonal.



No. 2
The following is a PBE calculation of crystalline BaFeCl4 at its relaxed geometry, from Alexandria.

a b c (Å): 8.074 8.074 8.074
angles (deg): 74.57 74.57 117.90
Atoms (fractional coordinates):
Cl 0.371 0.302 0.431
Cl 0.802 0.871 0.931
Cl 0.198 0.767 0.431
Cl 0.733 0.302 0.069
Fe 0.625 0.875 0.750
Ba 0.125 0.375 0.750
Cl 0.267 0.698 0.931
Ba 0.875 0.625 0.250
Cl 0.802 0.233 0.569
Cl 0.198 0.129 0.069
Cl 0.629 0.698 0.569
Fe 0.375 0.125 0.250

## Properties
Its uncorrected formation energy is -1.6048 eV per atom. For the excess energy over the best structure of this formula in the dataset, the calculation gives 0.000 eV per atom. As for the final energy: -4.5668 eV per atom. The calculation puts the total magnetic moment at 8.000 μB per cell. As for the crystal system: tetragonal.



No. 3
The following is a PBE calculation of crystalline K3GeCl2F6 at its relaxed geometry, from Alexandria.

a b c (Å): 5.887 6.118 7.496
angles (deg): 114.08 90.41 90.00
Atoms (fractional coordinates):
K 0.500 0.500 0.500
Ge 0.500 0.000 0.000
F 0.319 0.108 0.216
Cl 0.021 0.735 0.469
F 0.328 0.155 0.881
F 0.672 0.274 0.119
K 0.000 0.500 0.000
F 0.681 0.892 0.784
Cl 0.979 0.265 0.531
K 0.500 0.000 0.500
F 0.328 0.726 0.881
F 0.672 0.845 0.119

## Properties
Its uncorrected formation energy is -2.2475 eV per atom. As for the final energy: -4.1500 eV per atom. The calculation puts the total magnetic moment at 0.222 μB per cell. As for the crystal system: monoclinic.



No. 4
The following is a PBE calculation of crystalline Dy3Ga9Rh2 at its relaxed geometry, from Alexandria.

a b c (Å): 4.263 8.107 8.107
angles (deg): 71.64 74.75 74.75
Atoms (fractional coordinates):
Dy 0.700 0.300 0.300
Ga 0.346 0.290 0.019
Ga 0.866 0.416 0.853
Ga 0.346 0.019 0.290
Ga 0.654 0.981 0.710
Dy 0.000 0.000 0.000
Ga 0.134 0.147 0.584
Ga 0.866 0.853 0.416
Ga 0.134 0.584 0.147
Rh 0.500 0.323 0.677
Rh 0.500 0.677 0.323
Ga 0.654 0.710 0.981
Dy 0.300 0.700 0.700
Ga 0.000 0.500 0.500

## Properties
As for the final energy: -4.6615 eV per atom. Its energy relative to the elements is -679 meV per atom. The calculation puts the total magnetic moment at 0.000 μB per cell. As for the crystal system: orthorhombic.